No. 1
This record from the Alexandria database describes a relaxed structure of AcSnTe2O8. The functional is PBE-GGA.

## Properties
The calculation puts the total energy at -5.828 eV per atom. The calculation puts the size of the total moment at 0.000 μB/atom. The density of states at the Fermi level is 0.320 states/eV per atom. The formation energy (no corrections) is -1323 meV/atom.

Cell: 6.2603 6.2603 7.2995 Å, 90.00 90.00 120.00°
Atoms (fractional coordinates):
O  0.1628  0.3263  0.7414
Ac  0.0000  0.0000  0.5000
Sn  0.0000  0.0000  0.0000
Te  0.6667  0.3333  0.1857
O  0.8372  0.6737  0.2586
O  0.3333  0.6667  0.0635
O  0.3263  0.1634  0.2586
O  0.6737  0.8366  0.7414
Te  0.3333  0.6667  0.8143
O  0.8366  0.1628  0.2586
O  0.1634  0.8372  0.7414
O  0.6667  0.3333  0.9365

***

No. 2
This record from the Alexandria database describes a relaxed structure of TaInCo2S. The functional is PBE-GGA.

## Properties
The calculation puts the total energy at -5.807 eV per atom. The calculation puts the size of the total moment at 0.226 μB/atom. The density of states at the Fermi level is 1.375 states/eV per atom. The formation energy (no corrections) is 779 meV/atom.

Cell: 4.6586 4.6658 4.6586 Å, 90.00 90.00 90.00°
Atoms (fractional coordinates):
In  0.5000  0.5000  0.5000
S  0.0000  0.5000  0.0000
Co  0.0000  0.0000  0.5000
Ta  0.0000  0.0000  0.0000
Co  0.5000  0.0000  0.0000

***

No. 3
This record from the Alexandria database describes a relaxed structure of CsMgTcGe2. The functional is PBE-GGA.

## Properties
The calculation puts the total energy at -3.862 eV per atom. The calculation puts the size of the total moment at 0.000 μB/atom. The density of states at the Fermi level is 0.521 states/eV per atom. The calculation puts the formation enthalpy at 0 K at 0.55 eV/atom.

Cell: 4.9201 4.9201 5.9483 Å, 90.00 90.00 90.00°
Atoms (fractional coordinates):
Ge  0.5000  0.0000  0.0000
Ge  0.0000  0.5000  0.0000
Tc  0.0000  0.0000  0.0000
Cs  0.0000  0.0000  0.5000
Mg  0.5000  0.5000  0.5000

***

No. 4
This record from the Alexandria database describes a relaxed structure of Si2SeBr. The functional is PBE-GGA.

## Properties
The calculation puts the total energy at -3.586 eV per atom. The calculation puts the size of the total moment at 0.000 μB/atom. The density of states at the Fermi level is 0.255 states/eV per atom. The formation energy (no corrections) is 415 meV/atom.

Cell: 3.6808 3.6808 8.0061 Å, 90.00 90.00 120.51°
Atoms (fractional coordinates):
Si  0.0000  0.0000  0.5243
Si  0.0000  0.0000  0.9757
Se  0.5000  0.5000  0.7500
Br  0.5000  0.5000  0.2500

***

No. 5
This record from the Alexandria database describes a relaxed structure of HfRuN2O. The functional is PBE-GGA.

## Properties
The calculation puts the total energy at -8.205 eV per atom. The calculation puts the size of the total moment at 0.000 μB/atom. The density of states at the Fermi level is 0.734 states/eV per atom. The formation energy (no corrections) is -38 meV/atom.

Cell: 3.8252 3.8252 3.9028 Å, 90.00 90.00 90.00°
Atoms (fractional coordinates):
O  0.0000  0.0000  0.5000
N  0.0000  0.5000  0.0000
Hf  0.5000  0.5000  0.5000
Ru  0.0000  0.0000  0.0000
N  0.5000  0.0000  0.0000

***

No. 6
This record from the Alexandria database describes a relaxed structure of PmNd4S4. The functional is PBE-GGA.

## Properties
The calculation puts the total energy at -6.263 eV per atom. The calculation puts the size of the total moment at 0.000 μB/atom. The density of states at the Fermi level is 0.627 states/eV per atom. The formation energy (no corrections) is -1782 meV/atom.

Cell: 5.7384 6.9930 6.9956 Å, 80.30 65.79 65.78°
Atoms (fractional coordinates):
S  0.0991  0.6012  0.2007
Nd  0.3968  0.4069  0.7995
Nd  0.1961  0.2006  0.4071
S  0.9009  0.3988  0.7993
Nd  0.8039  0.7994  0.5929
Nd  0.6032  0.5931  0.2005
Pm  0.0000  0.0000  0.0000
S  0.2997  0.7992  0.6014
S  0.7003  0.2008  0.3986

***

No. 7
This record from the Alexandria database describes a relaxed structure of K3SrPCO7. The functional is PBE-GGA.

## Properties
The calculation puts the total energy at -6.422 eV per atom. The calculation puts the size of the total moment at 0.000 μB/atom. The density of states at the Fermi level is 0.000 states/eV per atom. The formation energy (no corrections) is -2244 meV/atom.

Cell: 7.5426 5.7375 10.0823 Å, 89.06 90.00 90.00°
Atoms (fractional coordinates):
O  0.7500  0.9507  0.8649
O  0.5814  0.2130  0.3337
K  0.5041  0.7459  0.2531
O  0.2500  0.2640  0.9452
O  0.2500  0.0493  0.1351
O  0.4186  0.7870  0.6663
Sr  0.7500  0.7768  0.6225
O  0.7500  0.7360  0.0548
O  0.7500  0.5673  0.4145
K  0.0041  0.2541  0.7469
O  0.2500  0.4327  0.5855
O  0.9186  0.2130  0.3337
O  0.7500  0.5577  0.8563
P  0.7500  0.2949  0.4101
O  0.2500  0.4423  0.1437
K  0.9959  0.7459  0.2531
O  0.7500  0.1973  0.5560
O  0.2500  0.8027  0.4440
Sr  0.2500  0.2232  0.3775
K  0.2500  0.7578  0.9172
K  0.7500  0.2422  0.0828
O  0.0814  0.7870  0.6663
P  0.2500  0.7051  0.5899
K  0.4959  0.2541  0.7469
C  0.7500  0.7481  0.9260
C  0.2500  0.2519  0.0740

***

No. 8
This record from the Alexandria database describes a relaxed structure of InSi4As. The functional is PBE-GGA.

## Properties
The calculation puts the total energy at -4.307 eV per atom. The calculation puts the size of the total moment at 0.000 μB/atom. The density of states at the Fermi level is 0.596 states/eV per atom. The formation energy (no corrections) is 539 meV/atom.

Cell: 5.3078 5.3078 5.3078 Å, 60.00 60.00 60.00°
Atoms (fractional coordinates):
Si  0.3756  0.3756  0.3756
Si  0.3756  0.8731  0.3756
As  0.7500  0.7500  0.7500
Si  0.8731  0.3756  0.3756
In  0.0000  0.0000  0.0000
Si  0.3756  0.3756  0.8731

***

No. 9
This record from the Alexandria database describes a relaxed structure of CsFe2NiI8. The functional is PBE-GGA.

## Properties
The calculation puts the total energy at -3.352 eV per atom. The calculation puts the size of the total moment at 0.611 μB/atom. The density of states at the Fermi level is 0.709 states/eV per atom. The formation energy (no corrections) is -355 meV/atom.

Cell: 7.0943 7.0943 10.9687 Å, 83.26 83.26 68.22°
Atoms (fractional coordinates):
I  0.2304  0.2304  0.9934
I  0.7378  0.2255  0.1835
I  0.7696  0.7696  0.0066
I  0.3208  0.3208  0.5884
I  0.2255  0.7378  0.1835
Cs  0.0000  0.0000  0.5000
Fe  0.3840  0.3840  0.8020
Ni  0.0000  0.0000  0.0000
I  0.6792  0.6792  0.4116
I  0.2622  0.7745  0.8165
I  0.7745  0.2622  0.8165
Fe  0.6160  0.6160  0.1980

***

No. 10
This record from the Alexandria database describes a relaxed structure of In2RhCl. The functional is PBE-GGA.

## Properties
The calculation puts the total energy at -3.676 eV per atom. The calculation puts the size of the total moment at 0.000 μB/atom. The density of states at the Fermi level is 0.689 states/eV per atom. The formation energy (no corrections) is -8 meV/atom.

Cell: 5.6553 5.6553 5.6553 Å, 145.22 111.85 78.84°
Atoms (fractional coordinates):
Cl  0.7500  0.2500  0.5000
In  0.4841  0.4841  0.0000
In  0.0159  0.0159  0.0000
Rh  0.2500  0.7500  0.5000

***

No. 11
This record from the Alexandria database describes a relaxed structure of Ta3W. The functional is PBE-GGA.

## Properties
The calculation puts the total energy at -11.855 eV per atom. The calculation puts the size of the total moment at 0.000 μB/atom. The density of states at the Fermi level is 0.915 states/eV per atom. The calculation puts the formation enthalpy at 0 K at 0.27 eV/atom.

Cell: 3.0662 9.1057 3.0662 Å, 99.69 60.00 99.69°
Atoms (fractional coordinates):
Ta  0.0042  0.0125  0.0042
Ta  0.4958  0.4875  0.4958
W  0.7500  0.2500  0.7500
Ta  0.2500  0.7500  0.2500

***

No. 12
This record from the Alexandria database describes a relaxed structure of Ac4GaSe2Cl. The functional is PBE-GGA.

## Properties
The calculation puts the total energy at -5.007 eV per atom. The calculation puts the size of the total moment at 0.000 μB/atom. The density of states at the Fermi level is 0.459 states/eV per atom. The formation energy (no corrections) is -1473 meV/atom.

Cell: 6.3279 6.3279 7.8249 Å, 113.85 113.85 89.99°
Atoms (fractional coordinates):
Ac  0.9375  0.4371  0.0000
Cl  0.4372  0.4372  0.0000
Ac  0.6923  0.6923  0.5106
Ac  0.1817  0.1817  0.4894
Ac  0.4371  0.9375  0.0000
Se  0.1871  0.6871  0.5000
Se  0.6871  0.1871  0.5000
Ga  0.9372  0.9372  0.0000